#A
## PrHo8Th2 (PBE-GGA)

Data for an optimized crystal structure of PrHo8Th2.

a = 5.5372 Å, b = 10.1620 Å, c = 10.1620 Å
α = 40.34°, β = 92.05°, γ = 92.05°
Element x y z (fractional)
Pr  0.0000  0.0000  0.0000
Ho  0.2622  0.1369  0.5974
Ho  0.2622  0.5974  0.1369
Ho  0.7378  0.8631  0.4026
Ho  0.2394  0.5473  0.5473
Ho  0.7378  0.4026  0.8631
Ho  0.2337  0.1835  0.1835
Ho  0.7663  0.8165  0.8165
Ho  0.7606  0.4527  0.4527
Th  0.7400  0.2828  0.2828
Th  0.2600  0.7172  0.7172

## Properties
The space group is No. 12. Its magnetization is 0.0 μB/cell.

=====

#B
## PrHo8Th2 (PBE-GGA)

Data for an optimized crystal structure of PrHo8Th2.

a = 6.1355 Å, b = 7.9606 Å, c = 7.9772 Å
α = 107.53°, β = 104.97°, γ = 97.62°
Element x y z (fractional)
Pr  0.5000  0.0000  0.0000
Ho  0.3199  0.3650  0.2757
Ho  0.9480  0.0909  0.8120
Ho  0.7675  0.4577  0.0875
Ho  0.8608  0.2708  0.4573
Ho  0.1392  0.7292  0.5427
Ho  0.2325  0.5423  0.9125
Ho  0.0520  0.9091  0.1880
Ho  0.6801  0.6350  0.7243
Th  0.5904  0.8184  0.3689
Th  0.4096  0.1816  0.6311

## Properties
The space group is No. 2. Its magnetization is 0.0 μB/cell.

=====

Calculated relative energies: #A 147; #B 0, given in meV/atom